Record 1
First-principles (PBE-GGA) data for a relaxed structure of NbAg2Au8, as listed in the Alexandria database.

## Properties
DOS at the Fermi energy ... 0.379 states/eV per atom
Space-group type ... No. 12
Formation energy ... -3.2 kJ/mol of atoms

abc: 4.1501 6.6182 7.7487
angles: 74.50 74.46 90.03
Sites, in units of the cell vectors:
Au (0.3652, 0.8193, 0.2390)
Au (0.0903, 0.4480, 0.7877)
Au (0.6338, 0.1812, 0.7003)
Au (0.5441, 0.7329, 0.8804)
Au (0.1789, 0.9105, 0.6106)
Au (0.9087, 0.5525, 0.1518)
Au (0.4549, 0.2676, 0.0590)
Au (0.8201, 0.0901, 0.3288)
Ag (0.7250, 0.6359, 0.5185)
Ag (0.2740, 0.3647, 0.4209)
Nb (0.9995, 0.0003, 0.9697)

***

Record 2
First-principles (PBE-GGA) data for a relaxed structure of Er5SbP4, as listed in the Alexandria database.

## Properties
DOS at the Fermi energy ... 0.162 states/eV per atom
Space-group type ... No. 12
Formation energy from raw total energies ... -1.476 eV per atom

abc: 4.0141 7.0199 9.0686
angles: 75.42 77.21 73.39
Sites, in units of the cell vectors:
Er (0.6092, 0.6703, 0.1114)
Er (0.3908, 0.3297, 0.8886)
Er (0.7936, 0.0981, 0.3147)
Er (0.2064, 0.9019, 0.6853)
Er (0.0000, 0.5000, 0.5000)
P (0.5976, 0.2041, 0.6007)
P (0.4024, 0.7959, 0.3993)
P (0.2025, 0.3900, 0.2050)
P (0.7975, 0.6100, 0.7950)
Sb (0.0000, 0.0000, 0.0000)

***

Record 3
First-principles (PBE-GGA) data for a relaxed structure of KTl2AgTe2, as listed in the Alexandria database.

## Properties
Space-group type ... No. 26
Formation energy from raw total energies ... -0.431 eV per atom

abc: 5.0170 7.9771 10.1221
angles: 90.00 90.00 90.00
Sites, in units of the cell vectors:
Tl (0.0000, 0.3454, 0.1565)
Tl (0.0000, 0.8454, 0.8435)
Tl (0.5000, 0.0037, 0.1217)
Tl (0.5000, 0.5037, 0.8783)
K (0.0000, 0.5086, 0.5350)
K (0.0000, 0.0086, 0.4650)
Te (0.0000, 0.7442, 0.2025)
Te (0.0000, 0.2442, 0.7975)
Te (0.5000, 0.7855, 0.6241)
Te (0.5000, 0.2855, 0.3759)
Ag (0.5000, 0.1582, 0.6664)
Ag (0.5000, 0.6582, 0.3336)

***

Record 4
First-principles (PBE-GGA) data for a relaxed structure of SrGdGa, as listed in the Alexandria database.

## Properties
DOS at the Fermi energy ... 1.026 states/eV per atom
Space-group type ... No. 107
Formation energy ... -26.9 kJ/mol of atoms

abc: 3.7529 3.7529 7.3090
angles: 104.88 104.88 90.00
Each line ends with the local moment (μB).
Sites, in units of the cell vectors:
Sr (0.0254, 0.0254, 0.0509)  0.00
Ga (0.6820, 0.6820, 0.3639)  -0.03
Gd (0.2926, 0.2926, 0.5852)  7.12

***

Record 5
First-principles (PBE-GGA) data for a relaxed structure of BaTaAl2Co, as listed in the Alexandria database.

## Properties
DOS at the Fermi energy ... 1.539 states/eV per atom
Space-group type ... No. 123
Formation energy ... 91.8 kJ/mol of atoms

abc: 4.6379 5.2155 4.6379
angles: 90.00 90.00 90.00
Sites, in units of the cell vectors:
Ta (0.5000, 0.5000, 0.5000)
Co (0.0000, 0.0000, 0.0000)
Al (0.0000, 0.0000, 0.5000)
Al (0.5000, 0.0000, 0.0000)
Ba (0.0000, 0.5000, 0.0000)

***

Record 6
First-principles (PBE-GGA) data for a relaxed structure of FeBr4, as listed in the Alexandria database.

## Properties
DOS at the Fermi energy ... 1.233 states/eV per atom
Space-group type ... No. 221
Formation energy from raw total energies ... 0.060 eV per atom

abc: 5.0747 5.0747 5.0747
angles: 90.00 90.00 90.00
Each line ends with the local moment (μB).
Sites, in units of the cell vectors:
Br (0.0000, 0.5000, 0.5000)  0.09
Br (0.0000, 0.0000, 0.0000)  -0.34
Br (0.5000, 0.0000, 0.5000)  0.09
Br (0.5000, 0.5000, 0.0000)  0.09
Fe (0.5000, 0.5000, 0.5000)  3.36

***

Record 7
First-principles (PBE-GGA) data for a relaxed structure of MgSiSe2, as listed in the Alexandria database.

## Properties
DOS at the Fermi energy ... 0.394 states/eV per atom
Space-group type ... No. 119
Formation energy from raw total energies ... -0.218 eV per atom

abc: 8.3899 8.3899 8.3899
angles: 154.64 154.64 36.17
Sites, in units of the cell vectors:
Si (0.5000, 0.5000, 0.0000)
Se (0.2500, 0.7500, 0.5000)
Se (0.0000, 0.0000, 0.0000)
Mg (0.7500, 0.2500, 0.5000)

***

Record 8
First-principles (PBE-GGA) data for a relaxed structure of Dy7Y12Zr, as listed in the Alexandria database.

## Properties
DOS at the Fermi energy ... 1.494 states/eV per atom
Energy relative to the lowest polymorph listed for this composition ... 0.0 meV per atom
Space-group type ... No. 148
Formation energy ... 23.7 kJ/mol of atoms

abc: 6.1074 11.3449 11.3449
angles: 116.85 100.34 100.34
Sites, in units of the cell vectors:
Dy (0.1120, 0.9979, 0.7561)
Dy (0.8880, 0.0021, 0.2439)
Dy (0.5000, 0.0000, 0.0000)
Dy (0.3559, 0.2439, 0.2418)
Dy (0.1141, 0.7582, 0.0021)
Dy (0.6441, 0.7561, 0.7582)
Dy (0.8859, 0.2418, 0.9979)
Y (0.5724, 0.9979, 0.6464)
Y (0.0864, 0.1720, 0.5872)
Y (0.5008, 0.5872, 0.4152)
Y (0.0856, 0.5848, 0.1720)
Y (0.4276, 0.0021, 0.3536)
Y (0.5745, 0.6485, 0.0021)
Y (0.4255, 0.3515, 0.9979)
Y (0.0740, 0.6464, 0.6485)
Y (0.9144, 0.4152, 0.8280)
Y (0.9260, 0.3536, 0.3515)
Y (0.4992, 0.4128, 0.5848)
Y (0.9136, 0.8280, 0.4128)
Zr (0.0000, 0.0000, 0.0000)

***

Record 9
First-principles (PBE-GGA) data for a relaxed structure of Er3Tm7Tl2, as listed in the Alexandria database.

## Properties
DOS at the Fermi energy ... 0.947 states/eV per atom
Space-group type ... No. 10
Formation energy ... -1.4 kJ/mol of atoms

abc: 3.5528 5.5512 18.1418
angles: 93.35 90.00 90.00
Sites, in units of the cell vectors:
Tm (0.5000, 0.2578, 0.5416)
Tm (0.5000, 0.1692, 0.1700)
Tm (0.0000, 0.3327, 0.8528)
Tm (0.5000, 0.7422, 0.4584)
Tm (0.0000, 0.0000, 0.0000)
Tm (0.5000, 0.8308, 0.8300)
Tm (0.0000, 0.6673, 0.1472)
Er (0.5000, 0.5000, 0.0000)
Er (0.0000, 0.7738, 0.6309)
Er (0.0000, 0.2262, 0.3691)
Tl (0.5000, 0.2931, 0.7083)
Tl (0.5000, 0.7069, 0.2917)

***

Record 10
First-principles (PBE-GGA) data for a relaxed structure of Th4Te2N, as listed in the Alexandria database.

## Properties
DOS at the Fermi energy ... 0.860 states/eV per atom
Space-group type ... No. 139
Formation energy from raw total energies ... -0.894 eV per atom

abc: 4.8444 4.8444 8.8278
angles: 74.07 74.07 90.00
Sites, in units of the cell vectors:
Te (0.6429, 0.6429, 0.7141)
Te (0.3571, 0.3571, 0.2859)
Th (0.1581, 0.1581, 0.6838)
Th (0.5000, 0.0000, 0.0000)
Th (0.8419, 0.8419, 0.3162)
Th (0.0000, 0.5000, 0.0000)
N (0.0000, 0.0000, 0.0000)

***

Record 11
First-principles (PBE-GGA) data for a relaxed structure of In2ReAu, as listed in the Alexandria database.

## Properties
DOS at the Fermi energy ... 0.496 states/eV per atom
Energy relative to the lowest polymorph listed for this composition ... 121.9 meV per atom
Space-group type ... No. 12
Formation energy ... 45.4 kJ/mol of atoms

abc: 5.0082 5.0082 5.5166
angles: 79.38 79.38 33.92
Sites, in units of the cell vectors:
In (0.4962, 0.4962, 0.5076)
In (0.0038, 0.0038, 0.9924)
Re (0.7500, 0.7500, 0.7500)
Au (0.2500, 0.2500, 0.2500)

***

Record 12
First-principles (PBE-GGA) data for a relaxed structure of Nd6DyTm12, as listed in the Alexandria database.

## Properties
DOS at the Fermi energy ... 1.505 states/eV per atom
Energy relative to the lowest polymorph listed for this composition ... 0.0 meV per atom
Space-group type ... No. 166
Formation energy ... 12.2 kJ/mol of atoms

abc: 8.6127 8.6127 8.6127
angles: 79.63 79.63 79.63
Sites, in units of the cell vectors:
Nd (0.1646, 0.7669, 0.7672)
Nd (0.2328, 0.8354, 0.2331)
Nd (0.7669, 0.7672, 0.1646)
Nd (0.2331, 0.2328, 0.8354)
Nd (0.7672, 0.1646, 0.7669)
Nd (0.8354, 0.2331, 0.2328)
Tm (0.5134, 0.1954, 0.5131)
Tm (0.4866, 0.8046, 0.4869)
Tm (0.4869, 0.4866, 0.8046)
Tm (0.5131, 0.5134, 0.1954)
Tm (0.8626, 0.5164, 0.8625)
Tm (0.8625, 0.8626, 0.5164)
Tm (0.1375, 0.1374, 0.4836)
Tm (0.1374, 0.4836, 0.1375)
Tm (0.8046, 0.4869, 0.4866)
Tm (0.1954, 0.5131, 0.5134)
Tm (0.4836, 0.1375, 0.1374)
Tm (0.5164, 0.8625, 0.8626)
Dy (0.0000, 0.0000, 0.0000)

***

DFT total energy for every record listed, in sequence, given in eV per atom: -3.85, -6.33, -2.93, -6.54, -4.72, -2.97, -3.71, -5.67, -4.16, -7.22, -4.83, -4.45.